# 1
Density functional theory data (PBEsol) for an optimized crystal structure of ZnCrPO5.

```
ZnCrPO5
1.0
-1.9297 3.7313 3.3288
3.4700 -2.1164 3.4938
3.6691 3.2429 -5.1420
Zn Cr P O
2 2 2 10
Direct
0.8097 0.1821 0.7706
0.1821 0.8097 0.2706
0.4933 0.4938 0.0143
0.4938 0.4933 0.5143
0.1422 0.8436 0.7640
0.8436 0.1422 0.2640
0.2240 0.7081 0.9286
0.7081 0.2240 0.4286
0.2763 0.7627 0.5978
0.7627 0.2763 0.0978
0.1586 0.1988 0.3741
0.1988 0.1586 0.8741
0.7892 0.8274 0.1553
0.8274 0.7892 0.6553
0.4088 0.5768 0.2639
0.5768 0.4088 0.7639
```

Summary:
For the formation energy (no corrections), the calculation gives -1.913 eV/atom. Its volume is 11.16 Å³/atom. The space group is Cc (9).

# 2
Density functional theory data (PBEsol) for an optimized crystal structure of SrZnRe2.

```
SrZnRe2
1.0
4.6043 0.0000 0.0000
2.3022 3.9875 0.0000
2.3022 1.3292 3.7594
Re Sr Zn
2 1 1
Direct
0.0000 0.0000 0.0000
0.7500 0.7500 0.7500
0.5000 0.5000 0.5000
0.2500 0.2500 0.2500
```

Summary:
Its volume is 17.26 Å³/atom. The space group is F-43m (216). As for the formation energy: 838 meV per atom.

Calculated VASP energy (eV per cell), listed in the same order as above: -118.331 -26.736